{"formula": "AcTb6Tm8", "functional": "GGA-PBE", "state": "relaxed", "vol_a3_per_cell": 524, "dos_at_fermi_per_ev_atom": 1.5755, "e_form_ev_per_atom": 0.47, "lattice": [[4.226, 2.440, 8.472], [-4.226, 2.440, 8.472], [0.000, -4.880, 8.472]], "species": ["Ac", "Tb", "Tb", "Tb", "Tb", "Tb", "Tb", "Tm", "Tm", "Tm", "Tm", "Tm", "Tm", "Tm", "Tm"], "fractional_positions": [[0.000, 0.000, 0.000], [0.156, 0.354, 0.654], [0.346, 0.844, 0.646], [0.354, 0.654, 0.156], [0.646, 0.346, 0.844], [0.654, 0.156, 0.354], [0.844, 0.646, 0.346], [0.056, 0.787, 0.568], [0.213, 0.432, 0.944], [0.290, 0.290, 0.290], [0.432, 0.944, 0.213], [0.568, 0.056, 0.787], [0.710, 0.710, 0.710], [0.787, 0.568, 0.056], [0.944, 0.213, 0.432]]}